Version one
A geometry-optimized NdDy2Pu structure. Source: Alexandria via LeMat-Bulk, functional GGA-PBE.

Output
volume: 31.499 A^3/atom
space group: R3m, No. 160
spin magnetization: 6.1 μB per cell

Structure (extended XYZ):
```
4
Lattice="-2.294 -1.058 2.503 -3.068 -1.536 -0.934 3.289 -11.182 0.815" Properties=species:S:1:pos:R:3 pbc="T T T"
Pu -3.568 -1.744 1.046
Dy 2.060 -8.685 0.744
Dy -0.558 -3.364 0.594
Nd -1.045 -6.872 1.191
```

=====

Version two
A geometry-optimized NdDy2Pu structure. Source: Alexandria via LeMat-Bulk, functional GGA-PBE.

Output
volume: 31.316 A^3/atom
space group: P4/mmm, No. 123
spin magnetization: 6.4 μB per cell

Structure (extended XYZ):
```
4
Lattice="-2.724 1.261 -1.853 -1.876 -2.879 0.798 -3.500 4.570 8.257" Properties=species:S:1:pos:R:3 pbc="T T T"
Dy -2.663 3.476 6.282
Dy -0.837 1.093 1.975
Nd -4.050 1.476 3.601
Pu -2.300 -0.809 -0.527
```

=====

version two takes first place; second place is 0.006 eV/atom up.

=====

Version one
A geometry-optimized NdDyPu structure. Source: Alexandria via LeMat-Bulk, functional GGA-PBE.

Output
volume: 31.117 A^3/atom
space group: C2/m, No. 12
spin magnetization: 12.6 μB per cell

Structure (extended XYZ):
```
6
Lattice="-4.722 -0.618 4.449 -3.930 -5.148 -0.727 5.279 -1.142 1.807" Properties=species:S:1:pos:R:3 pbc="T T T"
Dy -4.527 -1.735 3.172
Pu -2.200 -4.510 3.610
Nd -5.414 -5.113 3.646
Pu -1.173 -2.398 1.919
Nd 2.040 -1.795 1.883
Dy -4.125 -4.031 0.549
```

=====

Version two
A geometry-optimized NdDyPu structure. Source: Alexandria via LeMat-Bulk, functional GGA-PBE.

Output
volume: 31.633 A^3/atom
space group: P3m1, No. 156
spin magnetization: 6.3 μB per cell

Structure (extended XYZ):
```
3
Lattice="3.566 0.000 0.000 -1.783 3.088 0.000 0.000 0.000 8.616" Properties=species:S:1:pos:R:3 pbc="T T T"
Nd 0.000 0.000 0.023
Dy 0.000 2.059 5.694
Pu 1.783 1.029 2.900
```

=====

Version three
A geometry-optimized NdDyPu structure. Source: Alexandria via LeMat-Bulk, functional GGA-PBE.

Output
volume: 31.378 A^3/atom
space group: I4mm, No. 107
spin magnetization: 6.2 μB per cell

Structure (extended XYZ):
```
3
Lattice="3.546 0.000 0.000 0.000 3.546 0.000 -1.773 -1.773 7.486" Properties=species:S:1:pos:R:3 pbc="T T T"
Pu 0.000 0.000 0.029
Dy 1.773 1.773 2.432
Nd 0.000 0.000 5.025
```

=====

version three takes first place; second place is 0.015 eV/atom up.

=====

Version one
A geometry-optimized Nd2Dy2Rh3 structure. Source: Alexandria via LeMat-Bulk, functional GGA-PBE.

Output
volume: 26.127 A^3/atom
space group: P-1, No. 2
spin magnetization: 0.0 μB per cell

Structure (extended XYZ):
```
7
Lattice="4.401 -0.004 0.004 -2.195 5.638 -0.178 0.002 -1.045 7.406" Properties=species:S:1:pos:R:3 pbc="T T T"
Nd 2.208 3.464 4.643
Rh 2.201 3.154 1.853
Dy 0.003 4.011 0.399
Nd 0.000 1.125 2.588
Rh 0.007 1.435 5.378
Dy 2.205 0.577 6.832
Rh 0.000 0.000 0.000
```

=====

Version two
A geometry-optimized Nd2Dy2Rh3 structure. Source: Alexandria via LeMat-Bulk, functional GGA-PBE.

Output
volume: 23.720 A^3/atom
space group: I2_13, No. 199
spin magnetization: 0.0 μB per cell

Structure (extended XYZ):
```
14
Lattice="7.124 0.000 -2.519 -3.562 6.169 -2.519 0.000 0.000 7.556" Properties=species:S:1:pos:R:3 pbc="T T T"
Dy 0.402 5.473 0.284
Rh 5.581 1.542 2.057
Rh -1.217 5.192 -2.057
Nd 0.000 0.000 2.822
Nd 4.441 3.085 -3.459
Nd 2.232 2.304 1.578
Dy -1.379 3.781 2.803
Rh 2.998 4.062 -0.461
Rh 1.543 4.627 2.980
Nd 4.013 0.781 -0.941
Dy 0.977 3.085 -2.234
Rh -0.326 2.520 0.461
Dy 0.000 0.000 6.703
Rh 2.107 0.565 4.576
```

=====

version two takes first place; second place is 0.074 eV/atom up.

=====

Version one
A geometry-optimized Nd2DyRh3 structure. Source: Alexandria via LeMat-Bulk, functional GGA-PBE.

Output
volume: 23.576 A^3/atom
space group: Immm, No. 71
spin magnetization: 0.0 μB per cell

Structure (extended XYZ):
```
6
Lattice="-1.294 -3.934 0.294 1.239 0.010 5.594 -5.475 3.863 -1.729" Properties=species:S:1:pos:R:3 pbc="T T T"
Dy 0.620 0.005 2.797
Nd -2.510 -1.323 0.558
Rh 0.000 0.000 0.000
Rh -1.735 -1.372 3.321
Nd -3.020 1.263 3.601
Rh -3.794 1.311 0.838
```

=====

Version two
A geometry-optimized Nd2DyRh3 structure. Source: Alexandria via LeMat-Bulk, functional GGA-PBE.

Output
volume: 21.529 A^3/atom
space group: Cmmm, No. 65
spin magnetization: 0.0 μB per cell

Structure (extended XYZ):
```
12
Lattice="-1.855 -3.265 -3.236 5.526 -1.624 -5.324 2.302 -5.270 3.997" Properties=species:S:1:pos:R:3 pbc="T T T"
Rh 0.885 -4.525 -3.534
Dy 2.433 -3.259 -5.699
Rh 3.890 -2.891 -3.110
Rh 5.088 -5.633 -1.030
Nd 1.151 -2.635 1.999
Rh -0.365 -2.920 -0.642
Nd 3.597 -5.894 -3.708
Nd 2.377 -4.264 -0.856
Rh 2.083 -7.268 -1.454
Dy 1.238 -1.630 -2.862
Rh 0.813 -5.615 1.403
Nd 0.000 0.000 0.000
```

=====

version two takes first place; second place is 0.176 eV/atom up.

=====

Version one
A geometry-optimized Nd2DyRh2 structure. Source: Alexandria via LeMat-Bulk, functional GGA-PBE.

Output
volume: 24.928 A^3/atom
space group: C2/m, No. 12
spin magnetization: 0.0 μB per cell

Structure (extended XYZ):
```
5
Lattice="3.798 0.000 1.618 1.072 5.298 2.751 -0.331 -0.019 6.045" Properties=species:S:1:pos:R:3 pbc="T T T"
Rh 0.141 1.133 2.302
Nd 3.401 4.263 5.185
Rh 4.398 4.145 8.112
Nd 1.138 1.016 5.229
Dy 2.435 2.649 2.184
```

=====

Version two
A geometry-optimized Nd2DyRh2 structure. Source: Alexandria via LeMat-Bulk, functional GGA-PBE.

Output
volume: 24.516 A^3/atom
space group: R-3m, No. 166
spin magnetization: 0.0 μB per cell

Structure (extended XYZ):
```
5
Lattice="4.734 0.003 0.002 2.368 4.100 0.002 2.368 1.368 6.320" Properties=species:S:1:pos:R:3 pbc="T T T"
Nd 3.549 3.416 2.135
Nd 5.921 2.055 4.190
Dy 1.184 2.050 0.001
Rh 3.550 0.685 0.967
Rh 5.920 4.786 5.358
```

=====

version one takes first place; second place is 0.064 eV/atom up.

=====

Version one
A geometry-optimized NdDy2Ru structure. Source: Alexandria via LeMat-Bulk, functional GGA-PBE.

Output
volume: 29.154 A^3/atom
space group: R-3m, No. 166
spin magnetization: 0.0 μB per cell

Structure (extended XYZ):
```
4
Lattice="3.530 0.000 0.000 1.765 3.057 0.000 1.765 1.019 10.807" Properties=species:S:1:pos:R:3 pbc="T T T"
Nd 0.000 0.000 0.000
Dy 5.295 3.057 3.525
Ru 3.530 2.038 5.404
Dy 1.765 1.019 7.282
```

=====

Version two
A geometry-optimized NdDy2Ru structure. Source: Alexandria via LeMat-Bulk, functional GGA-PBE.

Output
volume: 26.965 A^3/atom
space group: P4/mmm, No. 123
spin magnetization: 0.0 μB per cell

Structure (extended XYZ):
```
4
Lattice="-1.197 0.665 -3.163 -3.188 -0.799 1.038 -1.404 8.657 2.352" Properties=species:S:1:pos:R:3 pbc="T T T"
Dy -0.253 1.559 0.424
Dy -1.151 7.098 1.929
Nd -2.894 4.262 0.114
Ru -2.192 -0.067 -1.062
```

=====

version two takes first place; second place is 0.313 eV/atom up.

=====

Version one
A geometry-optimized NdDy2Ru structure. Source: Alexandria via LeMat-Bulk, functional GGA-PBE.

Output
volume: 27.509 A^3/atom
space group: Cmcm, No. 63
spin magnetization: 0.0 μB per cell

Structure (extended XYZ):
```
8
Lattice="3.915 -0.162 0.000 -1.706 6.172 0.000 0.000 0.000 9.212" Properties=species:S:1:pos:R:3 pbc="T T T"
Nd 1.996 0.830 6.909
Dy 0.073 1.771 0.640
Dy 0.073 1.771 3.966
Nd 0.214 5.180 2.303
Dy 2.137 4.238 8.572
Ru 0.124 2.993 6.909
Ru 2.085 3.017 2.303
Dy 2.137 4.238 5.246
```

=====

Version two
A geometry-optimized NdDy2Ru structure. Source: Alexandria via LeMat-Bulk, functional GGA-PBE.

Output
volume: 27.423 A^3/atom
space group: Pnma, No. 62
spin magnetization: 0.0 μB per cell

Structure (extended XYZ):
```
16
Lattice="-2.929 0.207 -5.704 5.423 -3.998 -2.929 -4.624 -7.805 2.091" Properties=species:S:1:pos:R:3 pbc="T T T"
Dy -0.323 -1.155 -2.273
Dy -4.999 -8.409 -3.742
Dy -1.807 -10.442 -4.269
Nd -0.082 -3.982 -4.680
Ru -4.468 -6.195 -1.914
Nd 1.340 -9.661 -2.008
Dy 2.869 -3.187 -2.800
Dy -2.022 -4.021 -1.504
Nd -3.470 -1.935 -4.534
Ru -2.916 -8.112 -5.637
Dy -3.301 -5.542 -4.510
Ru 0.786 -3.484 -0.905
Dy 1.171 -6.054 -2.032
Dy -0.109 -7.575 -5.037
Nd -2.049 -7.614 -1.862
Ru 2.337 -5.401 -4.628
```

=====

version two takes first place; second place is 0.015 eV/atom up.

=====

Version one
A geometry-optimized Nd2DyRu structure. Source: Alexandria via LeMat-Bulk, functional GGA-PBE.

Output
volume: 30.193 A^3/atom
space group: R-3m, No. 166
spin magnetization: 0.0 μB per cell

Structure (extended XYZ):
```
4
Lattice="-2.907 0.404 2.101 -3.220 -1.179 -1.128 -0.125 -9.785 4.809" Properties=species:S:1:pos:R:3 pbc="T T T"
Nd -0.738 -6.742 3.377
Ru -3.126 -5.280 2.891
Dy 0.000 0.000 0.000
Nd -5.515 -3.817 2.406
```

=====

Version two
A geometry-optimized Nd2DyRu structure. Source: Alexandria via LeMat-Bulk, functional GGA-PBE.

Output
volume: 28.544 A^3/atom
space group: Cmcm, No. 63
spin magnetization: 0.0 μB per cell

Structure (extended XYZ):
```
8
Lattice="-0.958 1.781 -3.481 -0.098 -6.315 -0.878 -9.059 -0.192 2.396" Properties=species:S:1:pos:R:3 pbc="T T T"
Nd -4.551 -0.720 -1.444
Ru -2.565 -2.865 -0.760
Dy -3.227 -3.698 -3.333
Ru -7.551 -1.862 -1.203
Nd -8.854 -4.075 0.352
Nd -5.565 -4.006 -0.518
Nd -1.262 -0.651 -2.314
Dy -6.889 -1.028 1.370
```

=====

version two takes first place; second place is 0.417 eV/atom up.

=====

Version one
A geometry-optimized Nd2DyRu structure. Source: Alexandria via LeMat-Bulk, functional GGA-PBE.

Output
volume: 28.493 A^3/atom
space group: P4/mmm, No. 123
spin magnetization: 0.0 μB per cell

Structure (extended XYZ):
```
4
Lattice="3.516 0.000 0.000 0.000 3.516 0.000 0.000 0.000 9.219" Properties=species:S:1:pos:R:3 pbc="T T T"
Dy 1.758 1.758 4.610
Nd 0.000 0.000 1.723
Ru 1.758 1.758 0.000
Nd 0.000 0.000 7.496
```

=====

Version two
A geometry-optimized Nd2DyRu structure. Source: Alexandria via LeMat-Bulk, functional GGA-PBE.

Output
volume: 28.471 A^3/atom
space group: Pnma, No. 62
spin magnetization: 0.0 μB per cell

Structure (extended XYZ):
```
16
Lattice="-0.719 -0.018 -6.356 -7.291 -0.695 0.826 -0.909 9.619 0.075" Properties=species:S:1:pos:R:3 pbc="T T T"
Nd -3.465 5.201 -4.963
Nd -7.331 8.404 -3.512
Nd -1.587 0.502 -1.943
Nd -3.800 8.748 -4.936
Nd -1.922 4.049 -1.916
Dy -7.759 6.547 -0.078
Nd -5.118 0.157 -0.519
Ru -1.912 7.124 -3.290
Ru -7.006 1.782 -2.165
Nd -6.996 4.856 -3.539
Dy -4.654 2.015 -3.635
Dy -1.159 2.359 -5.377
Ru -3.061 2.137 0.073
Dy -4.264 6.891 -1.820
Nd -5.453 3.705 -0.492
Ru -5.857 6.769 -5.528
```

=====

version two takes first place; second place is 0.202 eV/atom up.

=====

Version one
A geometry-optimized NdDyS structure. Source: Alexandria via LeMat-Bulk, functional GGA-PBE.

Output
volume: 27.815 A^3/atom
space group: P3m1, No. 156
spin magnetization: 0.0 μB per cell

Structure (extended XYZ):
```
3
Lattice="6.482 0.000 0.000 0.000 3.855 0.000 0.000 -1.928 3.339" Properties=species:S:1:pos:R:3 pbc="T T T"
Dy 0.502 0.000 0.000
S 2.100 0.000 2.226
Nd 3.880 1.928 1.113
```

=====

Version two
A geometry-optimized NdDyS structure. Source: Alexandria via LeMat-Bulk, functional GGA-PBE.

Output
volume: 28.364 A^3/atom
space group: R-3m, No. 166
spin magnetization: 0.0 μB per cell

Structure (extended XYZ):
```
6
Lattice="3.873 0.000 0.000 1.936 3.354 0.000 1.936 1.118 13.101" Properties=species:S:1:pos:R:3 pbc="T T T"
Nd 1.936 1.118 4.933
Nd 5.809 3.354 8.168
Dy 5.809 3.354 1.696
S 3.873 2.236 3.179
Dy 1.936 1.118 11.405
S 3.873 2.236 9.922
```

=====

version one takes first place; second place is 0.066 eV/atom up.

=====

Version one
A geometry-optimized Nd3DyS4 structure. Source: Alexandria via LeMat-Bulk, functional GGA-PBE.

Output
volume: 23.131 A^3/atom
space group: P2/c, No. 13
spin magnetization: 0.0 μB per cell

Structure (extended XYZ):
```
16
Lattice="6.983 0.063 0.000 -2.388 6.603 0.000 0.000 0.000 8.001" Properties=species:S:1:pos:R:3 pbc="T T T"
S 6.359 1.676 5.048
Nd 0.552 3.317 6.992
S 1.673 5.053 0.957
Nd 1.746 0.016 4.992
Dy 5.237 0.047 6.992
Nd 5.237 0.047 3.009
S 1.726 5.021 5.048
S 5.164 5.085 7.044
S -0.570 1.581 0.957
S 2.922 1.613 7.044
S 2.868 1.644 2.953
Nd 4.043 3.349 1.009
S -1.765 4.990 2.953
Dy 1.746 0.016 1.010
Nd 4.043 3.349 4.986
Nd 0.552 3.317 3.015
```

=====

Version two
A geometry-optimized Nd3DyS4 structure. Source: Alexandria via LeMat-Bulk, functional GGA-PBE.

Output
volume: 23.188 A^3/atom
space group: Pm-3m, No. 221
spin magnetization: 0.0 μB per cell

Structure (extended XYZ):
```
8
Lattice="-4.543 1.451 3.127 -2.274 -5.150 -0.915 2.591 -1.976 4.681" Properties=species:S:1:pos:R:3 pbc="T T T"
S -1.137 -2.575 -0.457
S 1.296 -0.988 2.340
S -2.272 0.725 1.564
Nd 0.159 -3.563 1.883
Nd -0.976 -0.263 3.904
Dy 0.000 0.000 0.000
Nd -3.409 -1.850 1.106
S -2.113 -2.837 3.447
```

=====

version one takes first place; second place is 0.026 eV/atom up.

=====

Version one
A geometry-optimized NdDyS2 structure. Source: Alexandria via LeMat-Bulk, functional GGA-PBE.

Output
volume: 22.768 A^3/atom
space group: R3m, No. 160
spin magnetization: 0.0 μB per cell

Structure (extended XYZ):
```
4
Lattice="-1.630 -2.739 2.225 1.069 -3.717 -0.397 4.787 -1.231 5.387" Properties=species:S:1:pos:R:3 pbc="T T T"
Nd 4.328 -5.551 6.525
S 1.102 -1.913 1.848
S 3.499 -1.470 4.150
Dy 2.197 -3.828 3.689
```

=====

Version two
A geometry-optimized NdDyS2 structure. Source: Alexandria via LeMat-Bulk, functional GGA-PBE.

Output
volume: 22.424 A^3/atom
space group: C2/m, No. 12
spin magnetization: 0.0 μB per cell

Structure (extended XYZ):
```
4
Lattice="3.965 0.007 0.017 1.967 3.443 0.017 1.960 1.140 6.589" Properties=species:S:1:pos:R:3 pbc="T T T"
S 1.972 1.147 1.550
S 5.919 3.442 5.072
Nd 3.946 2.294 3.311
Dy 0.000 0.000 0.000
```

=====

version two takes first place; second place is 0.063 eV/atom up.